Entry 1:
The following is a DFT calculation (GGA-PBE) of a relaxed NbAlH2 crystal.

```
8
Lattice="4.346 0.000 0.000 0.000 4.346 0.000 2.173 2.173 4.309" Properties=species:S:1:pos:R:3 pbc="T T T"
H 1.083 3.260 1.077
H 3.260 3.256 3.232
H 5.433 5.436 3.232
H 3.263 1.087 1.077
Nb 4.346 2.173 2.154
Nb 0.000 0.000 0.000
Al 2.173 2.173 0.000
Al 2.173 4.346 2.154
```

---

Entry 2:
The following is a DFT calculation (GGA-PBE) of a relaxed NbAl3H crystal.

```
5
Lattice="5.116 0.000 0.000 0.000 5.116 0.000 0.000 0.000 5.116" Properties=species:S:1:pos:R:3 pbc="T T T"
Nb 0.000 0.000 0.000
Al 0.000 2.558 0.000
Al 0.000 0.000 2.558
Al 2.558 0.000 0.000
H 2.558 2.558 2.558
```

---

Entry 3:
The following is a DFT calculation (GGA-PBE) of a relaxed Nb4Al2H crystal.

```
7
Lattice="-0.926 -2.565 -2.721 2.731 -2.378 1.312 -4.030 -5.589 3.914" Properties=species:S:1:pos:R:3 pbc="T T T"
Nb -2.239 -4.456 2.236
Nb 0.014 -6.075 0.269
Nb 1.366 -1.189 0.656
Nb -0.463 -1.282 -1.360
Al -1.762 -7.197 1.931
Al -0.463 -3.335 0.574
H 0.000 0.000 0.000
```

---

Entry 4:
The following is a DFT calculation (GGA-PBE) of a relaxed NbAl2H crystal.

```
4
Lattice="0.000 3.122 3.122 3.122 0.000 3.122 3.122 3.122 0.000" Properties=species:S:1:pos:R:3 pbc="T T T"
Nb 3.122 3.122 3.122
H 0.000 0.000 0.000
Al 1.561 1.561 1.561
Al 4.683 4.683 4.683
```

---

| no. | raw total energy (eV per cell) |
| --- | --- |
| 1 | -40.7 |
| 2 | -18.1 |
| 3 | -52.2 |
| 4 | -17.9 |